V3AgO7: relaxed, PBE with a Hubbard U.

Lattice parameters (Å, degrees): 8.1187 5.9332 6.4256 55.67 112.08 127.78
Last column: nearest neighbours and their distance in Å.
Fractional positions:
1 O 0.4813 0.2622 0.9477  1 V 1.73
2 O 0.7523 0.4030 0.6331  2 V 1.76-1.95
3 O 0.1876 0.9151 0.6584  2 V 1.75-1.95
4 O 0.4737 0.8404 0.5918  1 V 1.73
5 O 0.0995 0.2909 0.8371  2 V 1.80-1.84
6 O 0.4660 0.6715 0.0584  2 V 1.76-1.96
7 O 0.9602 0.4047 0.0945  1 V 1.67
8 V 0.3799 0.4886 0.8679  4 O 1.73-1.80
9 V 0.4790 0.0675 0.7764  4 O 1.95-1.98
10 V 0.9935 0.5102 0.8040  4 O 1.67-1.84
11 Ag 0.7270 0.1459 0.3458  2 O 2.12-2.16

- VASP energy: -7.02 eV per atom
- Symmetry: P1 (1)
- Magnetization: 2.000 μB/cell